Computed, not measured: an optimized crystal structure of CrIN2O at the PBE with a Hubbard U level of DFT.

Results
Total moment   0.275 μB per formula unit
Space group   P4/mmm (123)
V   13.01 Å³ per atom
Theoretical density   5.688 g cm⁻³
DFT total energy   -3.522 eV/atom
Crystal system   tetragonal

POSCAR file:
```
CrIN2O
1.0
3.961 0.000 0.000
0.000 3.961 0.000
0.000 0.000 4.147
Cr I N O
1 1 2 1
Direct
0.000 0.000 0.000
0.500 0.500 0.000
0.000 0.500 0.500
0.500 0.000 0.500
0.500 0.500 0.500
```